The following is a DFT calculation (GGA+U) of a geometry-optimized VZnO2 structure.

## Properties
calculated total energy: -73.2 eV for the cell shown

Lattice parameters (Å, degrees): 3.0372 3.0372 18.7160 90.00 90.00 120.00
With the nearest neighbours (Å) after each atom.
Space group R-3m (No. 166, hexagonal axes)
Unique sites:
1 V 0.0000 0.0000 0.0000  6 O 2.05
2 Zn 0.0000 0.0000 0.5000  2 O 2.05
3 O 0.0000 0.0000 0.3905  1 Zn 2.05, 3 V 2.05